Density functional theory data (GGA-PBE) for crystalline TlPI6 at its relaxed geometry.

Geometry as POSCAR:
```
TlPI6
1.0
3.6832 2.1265 6.6267
-3.6832 2.1265 6.6267
0.0000 -4.2530 6.6267
Tl P I
1 1 6
Cartesian
0.0000 0.0000 0.0000 Tl
0.0000 0.0000 9.9400 P
-2.3259 -0.0526 8.3886 I
-1.1174 -2.0406 11.4913 I
1.2085 -1.9880 8.3886 I
-1.2085 1.9880 11.4913 I
1.1174 2.0406 8.3886 I
2.3259 0.0526 11.4913 I
```

Summary:
- M_tot: 0.00 Bohr magnetons per cell
- SG: R-3 (148)
- Formation energy (no corrections): -0.02 eV per atom
- Final energy: -0.0790 Ha/atom